1.
# SiW2O

A relaxed structure of SiW2O (PBE with a Hubbard U, Alexandria).

Calculated values
Spin magnetization ... 1.97 μB per formula unit
Calculated volume ... 54.57 Å³ per cell
Energy above the most stable polymorph in this dataset ... 0.2835 eV per atom

Lattice parameters (Å, degrees): 4.2576 4.2576 4.2576 60.00 60.00 60.00
Each line ends with the local moment (μB).
Fractional coordinates of all 4 atoms:
Si 0.5000 0.5000 0.5000  -0.10
W 0.2500 0.2500 0.2500  0.93
W 0.7500 0.7500 0.7500  0.93
O 0.0000 0.0000 0.0000  -0.12

=====

2.
# Si3WO

A relaxed structure of Si3WO (PBE with a Hubbard U, Alexandria).

Calculated values
Spin magnetization ... 2.00 μB per formula unit
Calculated volume ... 110.57 Å³ per cell
Energy above the most stable polymorph in this dataset ... 0.8267 eV per atom

Lattice parameters (Å, degrees): 4.7997 4.7997 4.7997 90.00 90.00 90.00
Each line ends with the local moment (μB).
Fractional coordinates of all 5 atoms:
Si 0.0000 0.0000 0.5000  -0.01
O 0.5000 0.5000 0.5000  1.01
Si 0.0000 0.5000 0.0000  -0.05
Si 0.5000 0.0000 0.0000  -0.06
W 0.0000 0.0000 0.0000  0.86

=====

3.
# SiW3O

A relaxed structure of SiW3O (PBE with a Hubbard U, Alexandria).

Calculated values
Spin magnetization ... 0.00 μB per formula unit
Calculated volume ... 72.89 Å³ per cell
Energy above the most stable polymorph in this dataset ... 0.0000 eV per atom

Lattice parameters (Å, degrees): 4.1772 4.1772 4.1772 90.00 90.00 90.00
Fractional coordinates of all 5 atoms:
O 0.0000 0.0000 0.0000
W 0.5000 0.0000 0.0000
W 0.0000 0.5000 0.0000
W 0.0000 0.0000 0.5000
Si 0.5000 0.5000 0.5000

=====

4.
# SiWO3

A relaxed structure of SiWO3 (PBE with a Hubbard U, Alexandria).

Calculated values
E_tot ... -0.4686 Ry/atom
Spin magnetization ... 0.00 μB per formula unit
Calculated volume ... 61.83 Å³ per cell

Lattice parameters (Å, degrees): 3.9542 3.9542 3.9542 90.00 90.00 90.00
Fractional coordinates of all 5 atoms:
O 0.5000 0.0000 0.0000
Si 0.5000 0.5000 0.5000
W 0.0000 0.0000 0.0000
O 0.0000 0.5000 0.0000
O 0.0000 0.0000 0.5000

=====

Values of N(E_F), in order: 1.75, 5.07, 3.74, 2.38, all in states/eV per cell.